No. 1
Ac6ZnRh2Br3: optimized geometry, PBE-GGA.

Geometry as POSCAR:
```
Ac6ZnRh2Br3
1.0
3.842 -6.652 0.000
3.842 6.652 0.000
-2.566 0.000 8.234
Ac Zn Rh Br
6 1 2 3
Direct
0.083 0.434 0.802
0.215 0.215 0.198
0.434 0.083 0.802
0.566 0.917 0.198
0.785 0.785 0.802
0.917 0.566 0.198
0.500 0.500 0.000
0.167 0.833 0.000
0.833 0.167 0.000
0.000 0.000 0.500
0.335 0.665 0.500
0.665 0.335 0.500
```

**Uncorrected energy**: -0.3529 Ry/atom
**Energy relative to the elements, uncorrected**: -1.00 eV/atom

---

No. 2
Ac2RuBr2: optimized geometry, PBE-GGA.

Geometry as POSCAR:
```
Ac2RuBr2
1.0
2.153 1.243 11.237
-2.153 1.243 11.237
0.000 -2.486 11.237
Ac Ru Br
2 1 2
Direct
0.116 0.116 0.116
0.884 0.884 0.884
0.500 0.500 0.500
0.388 0.388 0.388
0.612 0.612 0.612
```

**Uncorrected energy**: -0.3785 Ry/atom
**Energy relative to the elements, uncorrected**: -0.98 eV/atom